(1)
# Zr4TaTc5

A relaxed Zr4TaTc5 crystal (PBE-GGA, Alexandria).

Properties
Spin magnetization in μB per atom: 0.00
Energy in eV/atom: -10.1715
SG: P4/mmm
Energy of formation from the pure elements in eV/atom: -0.384
ρ in g/cm³: 9.8

Lattice parameters (Å, degrees): 3.2652 3.2652 16.4174 90.00 90.00 90.00
Positions (direct):
Zr 0.0000 0.0000 0.1976
Zr 0.0000 0.0000 0.3989
Zr 0.0000 0.0000 0.6011
Zr 0.0000 0.0000 0.8024
Ta 0.0000 0.0000 0.0000
Tc 0.5000 0.5000 0.0939
Tc 0.5000 0.5000 0.2978
Tc 0.5000 0.5000 0.5000
Tc 0.5000 0.5000 0.7022
Tc 0.5000 0.5000 0.9061

(2)
# TlZnPt

A relaxed TlZnPt crystal (PBE-GGA, Alexandria).

Properties
Spin magnetization in μB per atom: 0.00
Relative energy among the computed polymorphs in eV/atom: 0.082
Energy in eV/atom: -3.2766
SG: P3m1
Energy of formation from the pure elements in eV/atom: -0.050
ρ in g/cm³: 12.7

Lattice parameters (Å, degrees): 4.3640 4.3640 3.6832 90.00 90.00 120.00
Positions (direct):
Pt 0.0000 0.0000 0.8325
Tl 0.6667 0.3333 0.3335
Zn 0.3333 0.6667 0.8340

(3)
# CrReIr2

A relaxed CrReIr2 crystal (PBE-GGA, Alexandria).

Properties
Spin magnetization in μB per atom: 0.21
Relative energy among the computed polymorphs in eV/atom: 0.088
Energy in eV/atom: -10.1202
SG: Cmmm
Energy of formation from the pure elements in eV/atom: -0.172
ρ in g/cm³: 18.4

Lattice parameters (Å, degrees): 4.6894 4.6894 2.7130 90.00 90.00 109.54
Last column: magnetic moment on the atom in μB.
Positions (direct):
Re 0.5000 0.0000 0.5000  -0.07
Ir 0.0000 0.0000 0.0000  -0.09
Ir 0.5000 0.5000 0.0000  -0.09
Cr 0.0000 0.5000 0.5000  1.04

(4)
# ThTiPb

A relaxed ThTiPb crystal (PBE-GGA, Alexandria).

Properties
Spin magnetization in μB per atom: 0.16
Relative energy among the computed polymorphs in eV/atom: 0.085
Energy in eV/atom: -6.1701
SG: C2/m
Energy of formation from the pure elements in eV/atom: 0.171
ρ in g/cm³: 10.0

Lattice parameters (Å, degrees): 3.3318 8.9438 11.0050 84.10 98.71 90.00
Last column: magnetic moment on the atom in μB.
Positions (direct):
Th 0.0863 0.4236 0.1726  0.01
Th 0.4853 0.1809 0.9706  0.00
Th 0.5147 0.8191 0.0294  0.00
Th 0.9137 0.5764 0.8274  0.01
Ti 0.2760 0.6245 0.5519  0.26
Ti 0.7551 0.8762 0.5103  0.47
Ti 0.7240 0.3755 0.4481  0.26
Ti 0.2449 0.1238 0.4897  0.47
Pb 0.3408 0.3159 0.6815  0.00
Pb 0.6336 0.0864 0.2673  0.00
Pb 0.6592 0.6841 0.3185  0.00
Pb 0.3664 0.9136 0.7327  0.00

(5)
# AcHgGe2

A relaxed AcHgGe2 crystal (PBE-GGA, Alexandria).

Properties
Spin magnetization in μB per atom: 0.00
Relative energy among the computed polymorphs in eV/atom: 0.000
Energy in eV/atom: -3.8210
SG: Pnma
Energy of formation from the pure elements in eV/atom: -0.410
ρ in g/cm³: 9.2

Lattice parameters (Å, degrees): 4.7591 11.9431 14.6281 90.00 90.00 90.00
Positions (direct):
Ac 0.7500 0.4607 0.6985
Ac 0.2500 0.9607 0.8015
Ac 0.2500 0.5393 0.3015
Ac 0.7500 0.0393 0.1985
Ac 0.7500 0.2544 0.9625
Ac 0.2500 0.7544 0.5375
Ac 0.2500 0.7456 0.0375
Ac 0.7500 0.2456 0.4625
Hg 0.7500 0.5643 0.9308
Hg 0.2500 0.0643 0.5692
Hg 0.2500 0.4357 0.0692
Hg 0.7500 0.9357 0.4308
Hg 0.7500 0.3482 0.2478
Hg 0.2500 0.8482 0.2522
Hg 0.2500 0.6518 0.7522
Hg 0.7500 0.1518 0.7478
Ge 0.7500 0.9753 0.9720
Ge 0.2500 0.4753 0.5280
Ge 0.2500 0.0247 0.0280
Ge 0.7500 0.5247 0.4720
Ge 0.7500 0.7917 0.8828
Ge 0.2500 0.2917 0.6172
Ge 0.2500 0.2083 0.1172
Ge 0.7500 0.7083 0.3828
Ge 0.7500 0.7717 0.7033
Ge 0.2500 0.2717 0.7967
Ge 0.2500 0.2283 0.2967
Ge 0.7500 0.7283 0.2033
Ge 0.7500 0.9611 0.6259
Ge 0.2500 0.4611 0.8741
Ge 0.2500 0.0389 0.3741
Ge 0.7500 0.5389 0.1259

(6)
# InBiTe2O8

A relaxed InBiTe2O8 crystal (PBE-GGA, Alexandria).

Properties
Spin magnetization in μB per atom: 0.00
Energy in eV/atom: -5.3098
SG: P-3m1
E_form (uncorrected) in meV per atom: -929
ρ in g/cm³: 5.4

Lattice parameters (Å, degrees): 6.2470 6.2470 6.4355 90.00 90.00 120.00
Positions (direct):
In 0.0000 0.0000 0.0000
Bi 0.0000 0.0000 0.5000
Te 0.6667 0.3333 0.2673
Te 0.3333 0.6667 0.7327
O 0.8515 0.1485 0.2360
O 0.8515 0.7030 0.2360
O 0.2970 0.1485 0.2360
O 0.7030 0.8515 0.7640
O 0.3333 0.6667 0.4513
O 0.6667 0.3333 0.5487
O 0.1485 0.8515 0.7640
O 0.1485 0.2970 0.7640

(7)
# TiInS4

A relaxed TiInS4 crystal (PBE-GGA, Alexandria).

Properties
Spin magnetization in μB per atom: 0.00
Energy in eV/atom: -5.1836
SG: C2/m
E_form (uncorrected) in meV per atom: -660
ρ in g/cm³: 3.7

Lattice parameters (Å, degrees): 3.5305 6.4918 11.4867 93.48 90.00 90.00
Positions (direct):
Ti 0.5000 0.5000 0.5000
Ti 0.0000 0.0000 0.0000
In 0.0000 0.0000 0.5000
In 0.5000 0.5000 0.0000
S 0.5000 0.1762 0.3761
S 0.0000 0.3238 0.1239
S 0.5000 0.8238 0.6239
S 0.0000 0.6762 0.8761
S 0.0000 0.6262 0.3768
S 0.5000 0.8738 0.1232
S 0.0000 0.3738 0.6232
S 0.5000 0.1262 0.8768

(8)
# ReSbPt

A relaxed ReSbPt crystal (PBE-GGA, Alexandria).

Properties
Spin magnetization in μB per atom: 0.00
Relative energy among the computed polymorphs in eV/atom: 0.173
Energy in eV/atom: -7.0278
SG: Imm2
E_form (uncorrected) in meV per atom: 509
ρ in g/cm³: 15.9

Lattice parameters (Å, degrees): 5.0335 5.0335 5.0335 146.37 131.33 60.46
Positions (direct):
Pt 0.9865 0.9865 0.0000
Re 0.3455 0.3455 0.0000
Sb 0.6680 0.6680 0.0000

(9)
# TcHg2As

A relaxed TcHg2As crystal (PBE-GGA, Alexandria).

Properties
Spin magnetization in μB per atom: 0.36
Energy in eV/atom: -3.2615
SG: Pmmm
Energy of formation from the pure elements in eV/atom: 0.643
ρ in g/cm³: 12.4

Lattice parameters (Å, degrees): 3.3188 4.6027 5.0490 90.00 90.00 90.00
Last column: magnetic moment on the atom in μB.
Positions (direct):
As 0.0000 0.5000 0.5000  -0.02
Hg 0.0000 0.0000 0.0000  -0.01
Hg 0.5000 0.5000 0.0000  0.00
Tc 0.5000 0.0000 0.5000  1.36

(10)
# Zr2BeOs

A relaxed Zr2BeOs crystal (PBE-GGA, Alexandria).

Properties
Spin magnetization in μB per atom: 0.00
Energy in eV/atom: -8.0593
SG: I-4m2
Energy of formation from the pure elements in eV/atom: -0.046
ρ in g/cm³: 9.2

Lattice parameters (Å, degrees): 5.2635 5.2635 5.2635 136.31 136.31 63.51
Positions (direct):
Be 0.5000 0.5000 0.0000
Os 0.7500 0.2500 0.5000
Zr 0.0000 0.0000 0.0000
Zr 0.2500 0.7500 0.5000

(11)
# Tm2UPaC4

A relaxed Tm2UPaC4 crystal (PBE-GGA, Alexandria).

Properties
Spin magnetization in μB per atom: 0.00
Energy in eV/atom: -8.7083
SG: P2/m
Energy of formation from the pure elements in eV/atom: -0.380
ρ in g/cm³: 11.2

Lattice parameters (Å, degrees): 3.5894 6.0575 6.2086 70.06 90.00 90.00
Positions (direct):
Tm 0.0000 0.0000 0.0000
Tm 0.5000 0.0000 0.5000
U 0.5000 0.5000 0.0000
Pa 0.0000 0.5000 0.5000
C 0.0000 0.7235 0.7670
C 0.0000 0.2765 0.2330
C 0.5000 0.7265 0.2478
C 0.5000 0.2735 0.7522

(12)
# NbMo

A relaxed NbMo crystal (PBE-GGA, Alexandria).

Properties
Spin magnetization in μB per atom: 0.00
Energy in eV/atom: -10.5415
SG: P2_1/m
Energy of formation from the pure elements in eV/atom: -0.091
ρ in g/cm³: 9.3

Lattice parameters (Å, degrees): 2.8154 4.5567 5.3544 90.00 79.65 90.00
Positions (direct):
Mo 0.6225 0.7500 0.6223
Mo 0.3775 0.2500 0.3777
Nb 0.1290 0.7500 0.1286
Nb 0.8710 0.2500 0.8714

(13)
# GdHgRh4

A relaxed GdHgRh4 crystal (PBE-GGA, Alexandria).

Properties
Spin magnetization in μB per atom: 1.16
Energy in eV/atom: -7.6413
SG: F-43m
Energy of formation from the pure elements in eV/atom: -0.343
ρ in g/cm³: 12.1

Lattice parameters (Å, degrees): 5.2999 5.2999 5.2999 60.00 60.00 60.00
Last column: magnetic moment on the atom in μB.
Positions (direct):
Gd 0.2500 0.2500 0.2500  6.98
Rh 0.6254 0.6254 0.1237  -0.03
Rh 0.6254 0.1237 0.6254  -0.03
Rh 0.6254 0.6254 0.6254  -0.03
Rh 0.1237 0.6254 0.6254  -0.03
Hg 0.0000 0.0000 0.0000  0.00

(14)
# NaCdSi3

A relaxed NaCdSi3 crystal (PBE-GGA, Alexandria).

Properties
Spin magnetization in μB per atom: 0.00
Relative energy among the computed polymorphs in eV/atom: 0.000
Energy in eV/atom: -2.6722
SG: Pm-3m
E_form (uncorrected) in meV per atom: 1028
ρ in g/cm³: 2.7

Lattice parameters (Å, degrees): 5.1453 5.1453 5.1453 90.00 90.00 90.00
Positions (direct):
Na 0.5000 0.5000 0.5000
Si 0.0000 0.5000 0.0000
Si 0.0000 0.0000 0.5000
Si 0.5000 0.0000 0.0000
Cd 0.0000 0.0000 0.0000

(15)
# Tl3In9Hg2

A relaxed Tl3In9Hg2 crystal (PBE-GGA, Alexandria).

Properties
Spin magnetization in μB per atom: 0.00
Energy in eV/atom: -2.2830
SG: Immm
Energy of formation from the pure elements in eV/atom: 0.028
ρ in g/cm³: 8.5

Lattice parameters (Å, degrees): 4.5817 9.6075 9.6076 82.72 76.21 76.21
Positions (direct):
Tl 0.0000 0.0000 0.0000
Tl 0.7144 0.2856 0.2856
Tl 0.2856 0.7144 0.7144
In 0.0000 0.5000 0.5000
In 0.6263 0.9996 0.7478
In 0.3737 0.0004 0.2522
In 0.6263 0.7478 0.9996
In 0.3737 0.2522 0.0004
In 0.8427 0.8649 0.4496
In 0.1573 0.1351 0.5504
In 0.8427 0.4496 0.8649
In 0.1573 0.5504 0.1351
Hg 0.5000 0.3366 0.6634
Hg 0.5000 0.6634 0.3366

(16)
# La5Pm4Nd4

A relaxed La5Pm4Nd4 crystal (PBE-GGA, Alexandria).

Properties
Spin magnetization in μB per atom: 0.00
Energy in eV/atom: -4.8060
SG: I4/m
Energy of formation from the pure elements in eV/atom: 0.018
ρ in g/cm³: 6.6

Lattice parameters (Å, degrees): 5.2137 9.7964 9.7964 85.94 74.57 74.57
Positions (direct):
La 0.6921 0.8464 0.7694
La 0.3079 0.1536 0.2306
La 0.0000 0.0000 0.0000
La 0.5385 0.7694 0.1536
La 0.4615 0.2306 0.8464
Pm 0.7673 0.3874 0.0779
Pm 0.2327 0.6126 0.9221
Pm 0.8452 0.9221 0.3874
Pm 0.1548 0.0779 0.6126
Nd 0.9237 0.4611 0.6915
Nd 0.6152 0.3085 0.4611
Nd 0.0763 0.5389 0.3085
Nd 0.3848 0.6915 0.5389

(17)
# ZnMoP2

A relaxed ZnMoP2 crystal (PBE-GGA, Alexandria).

Properties
Spin magnetization in μB per atom: 0.00
Energy in eV/atom: -5.5723
SG: R3m
Energy of formation from the pure elements in eV/atom: 0.159
ρ in g/cm³: 6.2

Lattice parameters (Å, degrees): 7.6101 7.6101 7.6101 23.12 23.12 23.12
Positions (direct):
Mo 0.7412 0.7412 0.7412
P 0.9973 0.9973 0.9973
P 0.2571 0.2571 0.2571
Zn 0.5044 0.5044 0.5044

(18)
# Li2Tb3TmS6

A relaxed Li2Tb3TmS6 crystal (PBE-GGA, Alexandria).

Properties
Spin magnetization in μB per atom: 0.00
Energy in eV/atom: -5.8197
SG: C2/m
E_form (uncorrected) in meV per atom: -1907
ρ in g/cm³: 5.8

Lattice parameters (Å, degrees): 6.7040 6.7040 6.6855 99.60 99.60 119.99
Positions (direct):
Li 0.3331 0.6669 0.0000
Li 0.6669 0.3331 0.0000
Tb 0.1680 0.8320 0.5000
Tb 0.8320 0.1680 0.5000
Tb 0.5000 0.5000 0.5000
Tm 0.0000 0.0000 0.0000
S 0.9199 0.5852 0.7603
S 0.7462 0.7462 0.2420
S 0.0801 0.4148 0.2397
S 0.5852 0.9199 0.7603
S 0.2538 0.2538 0.7580
S 0.4148 0.0801 0.2397

(19)
# Li7CdAu4

A relaxed Li7CdAu4 crystal (PBE-GGA, Alexandria).

Properties
Spin magnetization in μB per atom: 0.00
Relative energy among the computed polymorphs in eV/atom: 0.000
Energy in eV/atom: -2.7236
SG: P-1
Energy of formation from the pure elements in eV/atom: -0.438
ρ in g/cm³: 8.1

Lattice parameters (Å, degrees): 5.6088 7.5856 7.5188 67.90 76.34 41.28
Positions (direct):
Li 0.7581 0.4991 0.0101
Li 0.2419 0.5009 0.9899
Li 0.0034 0.3347 0.6471
Li 0.9966 0.6653 0.3529
Li 0.2463 0.8331 0.6488
Li 0.5000 0.0000 0.0000
Li 0.7537 0.1669 0.3512
Cd 0.0000 0.0000 0.0000
Au 0.5003 0.6676 0.3245
Au 0.4997 0.3324 0.6755
Au 0.7275 0.8278 0.6854
Au 0.2725 0.1722 0.3146

(20)
# Sc3CdC

A relaxed Sc3CdC crystal (PBE-GGA, Alexandria).

Properties
Spin magnetization in μB per atom: 0.20
Relative energy among the computed polymorphs in eV/atom: 1.240
Energy in eV/atom: -5.0504
SG: Cmcm
Energy of formation from the pure elements in eV/atom: 0.776
ρ in g/cm³: 2.8

Lattice parameters (Å, degrees): 8.8543 8.8543 5.3630 90.00 90.00 132.20
Last column: magnetic moment on the atom in μB.
Positions (direct):
Sc 0.5985 0.9530 0.2500  0.00
Sc 0.0470 0.4015 0.2500  0.01
Sc 0.9530 0.5985 0.7500  0.01
Sc 0.4015 0.0470 0.7500  0.00
Sc 0.0000 0.0000 0.0000  0.63
Sc 0.0000 0.0000 0.5000  0.63
C 0.2948 0.7052 0.2500  0.00
C 0.7052 0.2948 0.7500  0.00
Cd 0.1584 0.8416 0.2500  0.00
Cd 0.8416 0.1584 0.7500  0.00